(1)
4
Lattice="4.099 0.000 0.000 2.049 3.550 0.017 2.049 1.158 5.123" Properties=species:S:1:pos:R:3 comment="Hf2GaNi (PBE, optimized geometry)" space_group="R3m, No. 160" formation_energy_ev_per_atom=-0.23 dos_ef_per_ev_atom=0.8603 magmom_total_mub_per_fu=0.0 pbc="T T T"
Hf 6.148 2.976 2.805
Hf 4.099 1.802 0.738
Ga 4.099 4.150 4.508
Ni 4.099 1.787 3.860

---

(2)
5
Lattice="-2.103 4.028 4.676 -2.394 -3.627 2.048 5.248 -1.434 3.595" Properties=species:S:1:pos:R:3 comment="Rb2MgCuSe (PBE, optimized geometry)" space_group="P4/mmm, No. 123" e_form_raw_ev_per_atom=0.1775 dos_ef_per_ev_atom=0.4240 magmom_total_mub_per_fu=0.1 pbc="T T T"
Mg 0.000 0.000 0.000
Cu -1.197 -1.814 1.024
Se 0.376 -0.516 5.160
Rb 2.624 -0.717 1.797
Rb -1.051 2.014 2.338

---

(3)
4
Lattice="-3.023 -0.062 4.585 -4.786 -2.692 0.097 -0.485 -4.634 2.907" Properties=species:S:1:pos:R:3 comment="PmGdHoIn (PBE, optimized geometry)" space_group="F-43m, No. 216" formation_energy_ev_per_atom=-0.12 dos_ef_per_ev_atom=1.4927 magmom_total_mub_per_fu=8.6 pbc="T T T"
Gd -4.147 -3.694 3.795
In -2.074 -1.847 1.897
Ho 0.000 0.000 0.000
Pm -6.221 -5.541 5.692

---

(4)
8
Lattice="-0.412 2.743 1.730 -3.001 -2.992 4.030 3.607 -1.923 3.910" Properties=species:S:1:pos:R:3 comment="ScPaTa2C4 (PBE, optimized geometry)" space_group="P2/m, No. 10" formation_energy_ev_per_atom=-0.60 dos_ef_per_ev_atom=0.4081 magmom_total_mub_per_fu=0.0 pbc="T T T"
Sc 0.303 -2.458 3.970
Pa -1.707 -0.125 2.880
Ta 3.607 -1.923 3.910
Ta 1.597 0.410 2.820
C 0.338 -3.740 6.012
C -0.145 1.568 3.658
C -1.630 -1.400 4.920
C 1.824 -0.773 4.749

---

(5)
6
Lattice="3.246 0.000 0.000 -1.623 2.812 0.000 0.000 0.000 10.779" Properties=species:S:1:pos:R:3 comment="SnPdO (PBE, optimized geometry)" space_group="P-6m2, No. 187" e_form_raw_ev_per_atom=-0.6014 dos_ef_per_ev_atom=0.4271 magmom_total_mub_per_fu=0.0 pbc="T T T"
Pd 0.000 2.187 0.000
Pd 0.000 0.312 5.390
Sn 1.623 1.249 7.480
Sn 1.623 1.249 3.299
O 0.000 2.187 8.699
O 0.000 2.187 2.080

---

(6)
5
Lattice="3.898 0.000 0.000 0.000 3.898 0.000 0.000 0.000 3.898" Properties=species:S:1:pos:R:3 comment="ReAuO3 (PBE, optimized geometry)" space_group="Pm-3m, No. 221" e_form_raw_ev_per_atom=-0.6426 dos_ef_per_ev_atom=0.3686 magmom_total_mub_per_fu=0.0 pbc="T T T"
Re 0.000 0.000 0.000
Au 1.949 1.949 1.949
O 0.000 1.949 0.000
O 0.000 0.000 1.949
O 1.949 0.000 0.000

---

(7)
5
Lattice="-3.660 1.006 -0.014 -0.800 -2.944 -2.259 -0.615 -2.195 3.079" Properties=species:S:1:pos:R:3 comment="MgFe2CoC (PBE, optimized geometry)" space_group="P4/mmm, No. 123" formation_energy_ev_per_atom=0.00 dos_ef_per_ev_atom=0.7327 magmom_total_mub_per_fu=3.1 pbc="T T T"
C 0.000 0.000 0.000
Mg -2.538 -2.067 0.403
Co -0.307 -1.098 1.539
Fe -0.400 -1.472 -1.129
Fe -1.830 0.503 -0.007

---

(8)
8
Lattice="-0.714 2.164 -3.153 1.701 -3.359 -2.689 -10.125 -4.494 -0.791" Properties=species:S:1:pos:R:3 comment="Nd4ZnPd3 (PBE, optimized geometry)" space_group="Pmm2, No. 25" formation_energy_ev_per_atom=-0.67 dos_ef_per_ev_atom=0.8745 magmom_total_mub_per_fu=0.0 pbc="T T T"
Nd -3.215 -2.244 -3.211
Nd -7.811 -5.523 -2.021
Nd -1.426 -0.633 -0.111
Nd -6.791 -1.774 -2.079
Zn -0.256 -0.930 -2.980
Pd -5.074 -4.309 -1.807
Pd -4.230 -1.878 -0.330
Pd -9.726 -3.076 -2.308

---

(9)
9
Lattice="-3.578 -0.715 0.364 1.165 -2.461 6.631 0.300 7.282 -1.225" Properties=species:S:1:pos:R:3 comment="YAl2Zn6 (PBE, optimized geometry)" space_group="Immm, No. 71" formation_energy_ev_per_atom=-0.08 dos_ef_per_ev_atom=0.2808 magmom_total_mub_per_fu=0.0 pbc="T T T"
Y 0.583 -1.231 3.315
Al -1.887 2.687 5.204
Al -0.226 1.418 0.566
Zn -1.328 0.060 5.539
Zn -0.784 4.046 0.231
Zn -0.361 3.151 2.642
Zn -1.588 -0.781 1.324
Zn -0.824 -2.395 5.671
Zn -1.752 0.955 3.128

---

(10)
4
Lattice="-1.841 -2.291 -1.509 1.451 -2.377 -1.777 0.487 -8.502 8.697" Properties=species:S:1:pos:R:3 comment="CaHo2Nb (PBE, optimized geometry)" space_group="R-3m, No. 166" formation_energy_ev_per_atom=0.64 dos_ef_per_ev_atom=1.8946 magmom_total_mub_per_fu=0.0 pbc="T T T"
Nb 0.000 0.000 0.000
Ca 0.048 -6.585 2.705
Ho 0.339 -6.836 6.348
Ho -0.242 -6.334 -0.938

---

(11)
4
Lattice="4.886 0.000 0.000 2.443 4.232 0.000 2.443 1.411 3.990" Properties=species:S:1:pos:R:3 comment="HoNpIrPd (PBE, optimized geometry)" space_group="F-43m, No. 216" formation_energy_ev_per_atom=-0.49 dos_ef_per_ev_atom=2.3631 magmom_total_mub_per_fu=4.2 pbc="T T T"
Np 2.443 1.411 0.997
Ir 4.886 2.821 1.995
Ho 7.329 4.232 2.992
Pd 0.000 0.000 0.000

---

(12)
10
Lattice="3.158 0.000 0.000 0.000 3.158 0.000 0.000 0.000 15.828" Properties=species:S:1:pos:R:3 comment="Hf5Mn4Fe (PBE, optimized geometry)" space_group="P4/mmm, No. 123" formation_energy_ev_per_atom=-0.17 dos_ef_per_ev_atom=1.0709 magmom_total_mub_per_fu=3.1 pbc="T T T"
Hf 1.579 1.579 1.568
Hf 1.579 1.579 4.730
Hf 1.579 1.579 7.914
Hf 1.579 1.579 11.097
Hf 1.579 1.579 14.260
Mn 0.000 0.000 3.156
Mn 0.000 0.000 6.331
Mn 0.000 0.000 9.496
Mn 0.000 0.000 12.671
Fe 0.000 0.000 0.000

---

(13)
4
Lattice="3.431 0.000 0.000 1.715 2.971 0.000 1.715 0.990 7.844" Properties=species:S:1:pos:R:3 comment="CeLuF2 (PBE, optimized geometry)" space_group="R-3m, No. 166" e_form_raw_ev_per_atom=-2.3497 dos_ef_per_ev_atom=1.3365 magmom_total_mub_per_fu=1.0 pbc="T T T"
Lu 0.000 0.000 0.000
Ce 3.431 1.981 3.922
F 1.715 0.990 5.707
F 5.146 2.971 2.137